DFT (GGA+U) results for a relaxed structure of BeMoAuF2.

Cell: 4.0492 4.0492 5.8654 Å, 90.00 90.00 90.00°
Last column: nearest neighbours and their distance in Å.
Atoms (fractional coordinates):
Be: 0.0000 0.0000 0.0000  4 Au 2.86
Mo: 0.5000 0.5000 0.5000  4 F 2.02
Au: 0.5000 0.5000 0.0000  4 Be 2.86, 2 Mo 2.93
F: 0.0000 0.5000 0.5000  2 Mo 2.02
F: 0.5000 0.0000 0.5000  2 Mo 2.02

Properties
- space group = P4/mmm (123)
- E (eV/atom) = -4.26